i:
Below is a relaxed structure of ScUNi, with properties calculated at the PBE level.

a b c (Å): 6.2378 6.2378 6.2378
angles (deg): 90.00 90.00 90.00
Element x y z (fractional)
1 Sc 0.0000 0.0000 0.0000
2 Sc 0.0000 0.5000 0.5000
3 Sc 0.5000 0.0000 0.5000
4 Sc 0.5000 0.5000 0.0000
5 U 0.2500 0.2500 0.7500
6 U 0.2500 0.7500 0.2500
7 U 0.7500 0.2500 0.2500
8 U 0.7500 0.7500 0.7500
9 Ni 0.0000 0.0000 0.5000
10 Ni 0.0000 0.5000 0.0000
11 Ni 0.5000 0.0000 0.0000
12 Ni 0.5000 0.5000 0.5000

As for the crystal system: cubic. As for the space-group type: F-43m (216).

***

ii:
Below is a relaxed structure of ScUNi, with properties calculated at the PBE level.

a b c (Å): 6.3077 6.3077 6.3077
angles (deg): 90.00 90.00 90.00
Element x y z (fractional)
1 Sc 0.0000 0.0000 0.0000
2 Sc 0.0000 0.5000 0.5000
3 Sc 0.5000 0.0000 0.5000
4 Sc 0.5000 0.5000 0.0000
5 U 0.0000 0.0000 0.5000
6 U 0.0000 0.5000 0.0000
7 U 0.5000 0.0000 0.0000
8 U 0.5000 0.5000 0.5000
9 Ni 0.2500 0.2500 0.7500
10 Ni 0.2500 0.7500 0.2500
11 Ni 0.7500 0.2500 0.2500
12 Ni 0.7500 0.7500 0.7500

As for the crystal system: cubic. As for the space-group type: F-43m (216).

***

Need the numbers? Relative energies in eV/atom: i 0.503; ii 0.000.

***

i:
Below is a relaxed structure of ZnNiSnSe3, with properties calculated at the PBE level.

a b c (Å): 7.3974 7.3974 9.3303
angles (deg): 90.00 90.00 150.65
Element x y z (fractional)
1 Zn 0.0000 0.0000 0.0000
2 Zn 0.0000 0.0000 0.5000
3 Ni 0.4743 0.5257 0.7500
4 Ni 0.5257 0.4743 0.2500
5 Sn 0.2382 0.7618 0.2500
6 Sn 0.7618 0.2382 0.7500
7 Se 0.0759 0.9241 0.7500
8 Se 0.3608 0.6392 0.5626
9 Se 0.3608 0.6392 0.9374
10 Se 0.6392 0.3608 0.0626
11 Se 0.6392 0.3608 0.4374
12 Se 0.9241 0.0759 0.2500

As for the crystal system: orthorhombic. As for the space-group type: Cmcm (63).

***

ii:
Below is a relaxed structure of ZnNiSnSe3, with properties calculated at the PBE level.

a b c (Å): 7.0022 7.0022 9.6030
angles (deg): 90.00 90.00 147.82
Element x y z (fractional)
1 Zn 0.0250 0.9750 0.7500
2 Zn 0.9750 0.0250 0.2500
3 Ni 0.5000 0.5000 0.0000
4 Ni 0.5000 0.5000 0.5000
5 Sn 0.2656 0.7344 0.2500
6 Sn 0.7344 0.2656 0.7500
7 Se 0.1307 0.8693 0.5448
8 Se 0.1307 0.8693 0.9552
9 Se 0.4160 0.5840 0.7500
10 Se 0.5840 0.4160 0.2500
11 Se 0.8693 0.1307 0.0448
12 Se 0.8693 0.1307 0.4552

As for the crystal system: orthorhombic. As for the space-group type: Cmcm (63).

***

Need the numbers? Relative energies in eV/atom: i 0.007; ii 0.000.

***

i:
Below is a relaxed structure of Sr2TcNiSe6, with properties calculated at the PBE level.

a b c (Å): 6.3266 6.3267 7.4868
angles (deg): 66.08 65.20 89.98
Element x y z (fractional)
1 Sr 0.2483 0.2477 0.9996
2 Sr 0.7517 0.7523 0.0004
3 Tc 0.0000 0.5000 0.5000
4 Ni 0.5000 0.0000 0.5000
5 Se 0.1587 0.1376 0.4925
6 Se 0.2218 0.7172 0.0630
7 Se 0.3609 0.6488 0.5124
8 Se 0.6391 0.3512 0.4876
9 Se 0.7782 0.2828 0.9370
10 Se 0.8413 0.8624 0.5075

As for the crystal system: triclinic. As for the space-group type: P-1 (2).

***

ii:
Below is a relaxed structure of Sr2TcNiSe6, with properties calculated at the PBE level.

a b c (Å): 6.9051 6.9051 7.7372
angles (deg): 123.22 123.22 53.02
Element x y z (fractional)
1 Sr 0.2465 0.2465 0.2326
2 Sr 0.7535 0.7535 0.7674
3 Tc 0.0000 0.0000 0.5000
4 Ni 0.5000 0.5000 0.0000
5 Se 0.2098 0.6806 0.6887
6 Se 0.2554 0.2554 0.8465
7 Se 0.3194 0.7902 0.3113
8 Se 0.6806 0.2098 0.6887
9 Se 0.7446 0.7446 0.1535
10 Se 0.7902 0.3194 0.3113

As for the crystal system: monoclinic. As for the space-group type: C2/m (12).

***

Need the numbers? Relative energies in eV/atom: i 0.000; ii 0.106.

***

i:
Below is a relaxed structure of SrZnNiSe3, with properties calculated at the PBE level.

a b c (Å): 6.7714 6.7714 10.2241
angles (deg): 90.00 90.00 145.61
Element x y z (fractional)
1 Sr 0.2460 0.7540 0.7500
2 Sr 0.7540 0.2460 0.2500
3 Zn 0.0000 0.0000 0.0000
4 Zn 0.0000 0.0000 0.5000
5 Ni 0.4687 0.5313 0.2500
6 Ni 0.5313 0.4687 0.7500
7 Se 0.0650 0.9350 0.2500
8 Se 0.3661 0.6339 0.0564
9 Se 0.3661 0.6339 0.4436
10 Se 0.6339 0.3661 0.5564
11 Se 0.6339 0.3661 0.9436
12 Se 0.9350 0.0650 0.7500

As for the crystal system: orthorhombic. As for the space-group type: Cmcm (63).

***

ii:
Below is a relaxed structure of SrZnNiSe3, with properties calculated at the PBE level.

a b c (Å): 7.0244 7.0244 9.7395
angles (deg): 90.00 90.00 146.97
Element x y z (fractional)
1 Sr 0.2418 0.7582 0.7500
2 Sr 0.7582 0.2418 0.2500
3 Zn 0.4702 0.5298 0.2500
4 Zn 0.5298 0.4702 0.7500
5 Ni 0.0000 0.0000 0.0000
6 Ni 0.0000 0.0000 0.5000
7 Se 0.0731 0.9269 0.2500
8 Se 0.3724 0.6276 0.0396
9 Se 0.3724 0.6276 0.4604
10 Se 0.6276 0.3724 0.5396
11 Se 0.6276 0.3724 0.9604
12 Se 0.9269 0.0731 0.7500

As for the crystal system: orthorhombic. As for the space-group type: Cmcm (63).

***

Need the numbers? Relative energies in eV/atom: i 0.013; ii 0.000.

***

i:
Below is a relaxed structure of TaNi2Te2Se, with properties calculated at the PBE level.

a b c (Å): 7.6553 3.5669 10.2148
angles (deg): 90.00 107.20 90.00
Element x y z (fractional)
1 Ta 0.2164 0.2500 0.1950
2 Ta 0.7836 0.7500 0.8050
3 Ni 0.0471 0.2500 0.9308
4 Ni 0.3983 0.7500 0.4078
5 Ni 0.6017 0.2500 0.5922
6 Ni 0.9529 0.7500 0.0692
7 Te 0.0475 0.7500 0.3321
8 Te 0.4170 0.7500 0.6677
9 Te 0.5830 0.2500 0.3323
10 Te 0.9525 0.2500 0.6679
11 Se 0.2666 0.7500 0.0127
12 Se 0.7334 0.2500 0.9873

As for the crystal system: monoclinic. As for the space-group type: P2_1/m (11).

***

ii:
Below is a relaxed structure of TaNi2Te2Se, with properties calculated at the PBE level.

a b c (Å): 7.7008 3.6803 10.3602
angles (deg): 90.00 109.58 90.00
Element x y z (fractional)
1 Ta 0.2130 0.2500 0.2014
2 Ta 0.7870 0.7500 0.7986
3 Ni 0.0396 0.2500 0.9342
4 Ni 0.4044 0.7500 0.4075
5 Ni 0.5956 0.2500 0.5925
6 Ni 0.9604 0.7500 0.0658
7 Te 0.2811 0.7500 0.0028
8 Te 0.4157 0.7500 0.6598
9 Te 0.5843 0.2500 0.3402
10 Te 0.7189 0.2500 0.9972
11 Se 0.0748 0.7500 0.3161
12 Se 0.9252 0.2500 0.6839

As for the crystal system: monoclinic. As for the space-group type: P2_1/m (11).

***

Need the numbers? Relative energies in eV/atom: i 0.037; ii 0.000.

***

i:
Below is a relaxed structure of TbSmNi, with properties calculated at the PBE level.

a b c (Å): 6.8242 6.8242 6.8242
angles (deg): 90.00 90.00 90.00
Element x y z (fractional)
1 Tb 0.0000 0.0000 0.0000
2 Tb 0.0000 0.5000 0.5000
3 Tb 0.5000 0.0000 0.5000
4 Tb 0.5000 0.5000 0.0000
5 Sm 0.0000 0.0000 0.5000
6 Sm 0.0000 0.5000 0.0000
7 Sm 0.5000 0.0000 0.0000
8 Sm 0.5000 0.5000 0.5000
9 Ni 0.2500 0.2500 0.7500
10 Ni 0.2500 0.7500 0.2500
11 Ni 0.7500 0.2500 0.2500
12 Ni 0.7500 0.7500 0.7500

As for the crystal system: cubic. As for the space-group type: F-43m (216).

***

ii:
Below is a relaxed structure of TbSmNi, with properties calculated at the PBE level.

a b c (Å): 4.5687 7.2513 7.2513
angles (deg): 119.98 90.00 90.00
Element x y z (fractional)
1 Tb 0.0000 0.0000 0.0000
2 Tb 0.5000 0.3339 0.6673
3 Tb 0.5000 0.6673 0.3339
4 Sm 0.0000 0.0002 0.5524
5 Sm 0.0000 0.4477 0.4477
6 Sm 0.0000 0.5524 0.0002
7 Ni 0.5000 0.0009 0.2431
8 Ni 0.5000 0.2431 0.0009
9 Ni 0.5000 0.7580 0.7580

As for the crystal system: orthorhombic. As for the space-group type: Amm2 (38).

***

Need the numbers? Relative energies in eV/atom: i 0.000; ii 0.169.

***

i:
Below is a relaxed structure of TbSmNi4, with properties calculated at the PBE level.

a b c (Å): 5.1019 5.1019 5.1019
angles (deg): 60.00 60.00 60.00
Element x y z (fractional)
1 Tb 0.0000 0.0000 0.0000
2 Sm 0.2500 0.2500 0.2500
3 Ni 0.1239 0.6254 0.6254
4 Ni 0.6254 0.1239 0.6254
5 Ni 0.6254 0.6254 0.1239
6 Ni 0.6254 0.6254 0.6254

As for the crystal system: cubic. As for the space-group type: F-43m (216).

***

ii:
Below is a relaxed structure of TbSmNi4, with properties calculated at the PBE level.

a b c (Å): 5.4062 5.4062 8.0279
angles (deg): 90.00 90.00 120.00
Element x y z (fractional)
1 Tb 0.3333 0.6667 0.0000
2 Tb 0.6667 0.3333 0.0000
3 Sm 0.0000 0.0000 0.0000
4 Sm 0.0000 0.0000 0.5000
5 Ni 0.0000 0.5000 0.2747
6 Ni 0.0000 0.5000 0.7253
7 Ni 0.3333 0.6667 0.5000
8 Ni 0.5000 0.0000 0.2747
9 Ni 0.5000 0.0000 0.7253
10 Ni 0.5000 0.5000 0.2747
11 Ni 0.5000 0.5000 0.7253
12 Ni 0.6667 0.3333 0.5000

As for the crystal system: hexagonal. As for the space-group type: P6/mmm (191).

***

Need the numbers? Relative energies in eV/atom: i 0.000; ii 0.391.

***

i:
Below is a relaxed structure of Ni7Sn, with properties calculated at the PBE level.

a b c (Å): 2.6289 3.3907 33.6061
angles (deg): 90.00 90.00 90.00
Element x y z (fractional)
1 Ni 0.2500 0.2500 0.0183
2 Ni 0.2500 0.2500 0.0913
3 Ni 0.2500 0.2500 0.1644
4 Ni 0.2500 0.2500 0.2381
5 Ni 0.2500 0.2500 0.7989
6 Ni 0.2500 0.2500 0.8719
7 Ni 0.2500 0.2500 0.9454
8 Ni 0.7500 0.7500 0.0546
9 Ni 0.7500 0.7500 0.1281
10 Ni 0.7500 0.7500 0.2011
11 Ni 0.7500 0.7500 0.7619
12 Ni 0.7500 0.7500 0.8356
13 Ni 0.7500 0.7500 0.9087
14 Ni 0.7500 0.7500 0.9817
15 Sn 0.2500 0.2500 0.7136
16 Sn 0.7500 0.7500 0.2864

As for the crystal system: orthorhombic. As for the space-group type: Pmmn (59).

***

ii:
Below is a relaxed structure of Ni7Sn, with properties calculated at the PBE level.

a b c (Å): 2.8972 2.8972 31.1538
angles (deg): 90.00 90.00 90.00
Element x y z (fractional)
1 Ni 0.0000 0.0000 0.0000
2 Ni 0.0000 0.0000 0.0824
3 Ni 0.0000 0.0000 0.1654
4 Ni 0.0000 0.0000 0.2502
5 Ni 0.0000 0.0000 0.3331
6 Ni 0.0000 0.0000 0.4161
7 Ni 0.0000 0.0000 0.5003
8 Ni 0.5000 0.5000 0.0409
9 Ni 0.5000 0.5000 0.1242
10 Ni 0.5000 0.5000 0.2076
11 Ni 0.5000 0.5000 0.2917
12 Ni 0.5000 0.5000 0.3748
13 Ni 0.5000 0.5000 0.4573
14 Ni 0.5000 0.5000 0.9570
15 Sn 0.0000 0.0000 0.8994
16 Sn 0.5000 0.5000 0.5579

As for the crystal system: tetragonal. As for the space-group type: P4mm (99).

***

Need the numbers? Relative energies in eV/atom: i 0.000; ii 0.007.